Here is a geometry-optimized LuNpH structure from Alexandria via LeMat-Bulk. Energies are from PBE-GGA.

Computed properties:
Space group: P2_1/c
DFT total energy: -85.6 eV per cell
Magnetization: 0.00 μB per atom

Structure (POSCAR):
```
LuNpH
1.0
-1.555 0.100 3.154
-0.104 -6.368 0.152
8.577 0.140 4.225
Np H Lu
4 4 4
direct
0.559 0.841 0.064
0.059 0.659 0.936
0.441 0.159 0.936
0.941 0.341 0.064
0.020 0.671 0.703
0.520 0.829 0.297
0.980 0.329 0.297
0.480 0.171 0.703
0.024 0.658 0.348
0.524 0.842 0.652
0.976 0.342 0.652
0.476 0.158 0.348
```

Here is a geometry-optimized LuHO2 structure from Alexandria via LeMat-Bulk. Energies are from PBE-GGA.

Computed properties:
Space group: Pmn2_1
DFT total energy: -57.3 eV per cell
Magnetization: 0.00 μB per atom

Structure (POSCAR):
```
LuHO2
1.0
3.394 0.000 0.000
0.000 4.778 0.000
0.000 0.000 5.367
Lu H O
2 2 4
direct
0.000 0.721 0.984
0.500 0.279 0.484
0.500 0.186 0.962
0.000 0.814 0.462
0.500 0.014 0.851
0.000 0.516 0.626
0.000 0.986 0.351
0.500 0.484 0.126
```

Here is a geometry-optimized LuH3O3 structure from Alexandria via LeMat-Bulk. Energies are from PBE-GGA.

Computed properties:
Space group: R-3
DFT total energy: -174.4 eV per cell
Magnetization: 0.00 μB per atom
Distance to the lowest polymorph of the same formula: 0.000 eV per atom

Structure (POSCAR):
```
LuH3O3
1.0
-2.049 -4.447 -5.145
0.564 -3.538 6.133
-4.765 5.222 0.683
Lu H O
4 12 12
direct
0.500 0.000 0.000
0.500 0.500 0.500
0.000 0.000 0.500
0.000 0.500 0.000
0.644 0.957 0.686
0.356 0.043 0.314
0.720 0.169 0.549
0.280 0.831 0.451
0.451 0.280 0.831
0.549 0.720 0.169
0.314 0.356 0.043
0.686 0.644 0.957
0.043 0.314 0.356
0.957 0.686 0.644
0.831 0.451 0.280
0.169 0.549 0.720
0.520 0.836 0.686
0.480 0.164 0.314
0.841 0.170 0.673
0.159 0.830 0.327
0.327 0.159 0.830
0.673 0.841 0.170
0.314 0.480 0.164
0.686 0.520 0.836
0.164 0.314 0.480
0.836 0.686 0.520
0.830 0.327 0.159
0.170 0.673 0.841
```

Here is a geometry-optimized LuH3O3 structure from Alexandria via LeMat-Bulk. Energies are from PBE-GGA.

Computed properties:
Space group: P6_3/m
DFT total energy: -86.4 eV per cell
Magnetization: 0.00 μB per atom
Distance to the lowest polymorph of the same formula: 0.054 eV per atom

Structure (POSCAR):
```
LuH3O3
1.0
6.266 0.000 0.000
-3.133 5.427 0.000
0.000 0.000 3.418
Lu H O
2 6 6
direct
0.333 0.667 0.250
0.667 0.333 0.750
0.135 0.854 0.750
0.146 0.281 0.750
0.281 0.135 0.250
0.719 0.865 0.750
0.854 0.719 0.250
0.865 0.146 0.250
0.311 0.912 0.750
0.088 0.400 0.750
0.400 0.311 0.250
0.600 0.689 0.750
0.912 0.600 0.250
0.689 0.088 0.250
```

Here is a geometry-optimized LuH3O3 structure from Alexandria via LeMat-Bulk. Energies are from PBE-GGA.

Computed properties:
Space group: P1
DFT total energy: -172.0 eV per cell
Magnetization: 0.00 μB per atom
Distance to the lowest polymorph of the same formula: 0.082 eV per atom

Structure (POSCAR):
```
LuH3O3
1.0
-3.494 -1.117 -5.956
0.634 -6.172 3.323
-3.578 4.617 4.237
Lu H O
4 12 12
direct
0.507 0.011 0.048
0.007 0.013 0.513
0.494 0.485 0.495
0.024 0.521 0.999
0.688 0.523 0.165
0.573 0.843 0.416
0.143 0.589 0.414
0.311 0.029 0.355
0.821 0.351 0.541
0.039 0.712 0.675
0.682 0.027 0.730
0.533 0.157 0.706
0.286 0.449 0.828
0.364 0.327 0.045
0.333 0.676 0.716
0.687 0.672 0.037
0.501 0.342 0.171
0.283 0.844 0.138
0.798 0.647 0.147
0.177 0.497 0.305
0.689 0.836 0.538
0.806 0.121 0.335
0.164 0.822 0.670
0.325 0.155 0.492
0.823 0.482 0.659
0.173 0.332 0.840
0.660 0.153 0.828
0.474 0.666 0.804
```

Here is a geometry-optimized Lu2HO structure from Alexandria via LeMat-Bulk. Energies are from PBE-GGA.

Computed properties:
Space group: R-3m
DFT total energy: -23.4 eV per cell
Magnetization: 0.00 μB per atom

Structure (POSCAR):
```
Lu2HO
1.0
-0.866 -1.525 -2.865
-0.202 -3.351 -0.124
-5.670 -1.359 0.468
H Lu O
1 2 1
direct
0.000 0.000 0.000
0.248 0.248 0.256
0.752 0.752 0.744
0.500 0.500 0.500
```

Here is a geometry-optimized LuHO2 structure from Alexandria via LeMat-Bulk. Energies are from PBE-GGA.

Computed properties:
Space group: P2_1
DFT total energy: -57.3 eV per cell
Magnetization: 0.00 μB per atom

Structure (POSCAR):
```
LuHO2
1.0
3.550 0.000 0.000
0.000 4.247 -0.007
0.000 1.940 5.505
Lu H O
2 2 4
direct
0.775 0.668 0.187
0.275 0.332 0.813
0.805 0.018 0.577
0.305 0.982 0.423
0.774 0.233 0.052
0.274 0.767 0.948
0.771 0.252 0.561
0.271 0.748 0.439
```

Here is a geometry-optimized LuHO2 structure from Alexandria via LeMat-Bulk. Energies are from PBE-GGA.

Computed properties:
Space group: R-3m
DFT total energy: -28.4 eV per cell
Magnetization: 0.00 μB per atom

Structure (POSCAR):
```
LuHO2
1.0
-0.310 -1.939 -2.792
0.499 -3.371 0.200
-4.365 -2.372 0.046
H Lu O
1 1 2
direct
0.000 0.000 0.000
0.500 0.500 0.500
0.089 0.089 0.732
0.911 0.911 0.268
```

Here is a geometry-optimized LuH3O3 structure from Alexandria via LeMat-Bulk. Energies are from PBE-GGA.

Computed properties:
Space group: P2_1/c
DFT total energy: -173.4 eV per cell
Magnetization: 0.00 μB per atom
Distance to the lowest polymorph of the same formula: 0.036 eV per atom

Structure (POSCAR):
```
LuH3O3
1.0
-8.909 2.215 -4.679
-2.374 -3.259 2.978
-1.370 3.640 4.331
Lu H O
4 12 12
direct
0.341 0.940 0.096
0.841 0.060 0.404
0.159 0.940 0.596
0.659 0.060 0.904
0.804 0.645 0.127
0.072 0.188 0.165
0.642 0.447 0.200
0.142 0.553 0.300
0.572 0.812 0.335
0.304 0.355 0.373
0.696 0.645 0.627
0.428 0.188 0.665
0.858 0.447 0.700
0.358 0.553 0.800
0.928 0.812 0.835
0.196 0.355 0.873
0.539 0.801 0.177
0.825 0.840 0.100
0.211 0.676 0.337
0.711 0.324 0.163
0.325 0.160 0.400
0.039 0.199 0.323
0.961 0.801 0.677
0.675 0.840 0.600
0.289 0.676 0.837
0.789 0.324 0.663
0.175 0.160 0.900
0.461 0.199 0.823
```

Here is a geometry-optimized LuHO2 structure from Alexandria via LeMat-Bulk. Energies are from PBE-GGA.

Computed properties:
Space group: P2_1/c
DFT total energy: -114.5 eV per cell
Magnetization: 0.00 μB per atom

Structure (POSCAR):
```
LuHO2
1.0
5.380 0.000 0.000
0.000 5.851 0.001
0.000 1.877 5.533
Lu H O
4 4 8
direct
0.486 0.233 0.253
0.014 0.233 0.753
0.986 0.767 0.247
0.514 0.767 0.747
0.972 0.282 0.267
0.472 0.718 0.233
0.528 0.282 0.767
0.028 0.718 0.733
0.141 0.131 0.124
0.359 0.131 0.624
0.865 0.369 0.357
0.365 0.631 0.143
0.635 0.369 0.857
0.135 0.631 0.643
0.641 0.869 0.376
0.859 0.869 0.876
```

Here is a geometry-optimized LuH3Os structure from Alexandria via LeMat-Bulk. Energies are from PBE-GGA.

Computed properties:
Space group: Pm-3m
DFT total energy: -27.0 eV per cell
Magnetization: 0.11 μB per atom

Structure (POSCAR):
```
LuH3Os
1.0
3.624 0.000 0.000
0.000 3.624 0.000
0.000 0.000 3.624
H Lu Os
3 1 1
direct
0.000 0.500 0.000
0.000 0.000 0.500
0.500 0.000 0.000
0.500 0.500 0.500
0.000 0.000 0.000
```

Here is a geometry-optimized Lu2HOs structure from Alexandria via LeMat-Bulk. Energies are from PBE-GGA.

Computed properties:
Space group: P4/mmm
DFT total energy: -24.2 eV per cell
Magnetization: 0.00 μB per atom
Distance to the lowest polymorph of the same formula: 0.000 eV per atom

Structure (POSCAR):
```
Lu2HOs
1.0
3.225 0.000 0.000
0.000 3.225 0.000
0.000 0.000 6.959
H Lu Os
1 2 1
direct
0.500 0.500 0.500
0.000 0.000 0.760
0.000 0.000 0.240
0.500 0.500 0.000
```

Here is a geometry-optimized Lu2HOs structure from Alexandria via LeMat-Bulk. Energies are from PBE-GGA.

Computed properties:
Space group: R-3m
DFT total energy: -24.1 eV per cell
Magnetization: 0.00 μB per atom
Distance to the lowest polymorph of the same formula: 0.021 eV per atom

Structure (POSCAR):
```
Lu2HOs
1.0
3.421 0.000 0.000
1.710 2.962 0.000
1.710 0.987 6.865
H Lu Os
1 2 1
direct
0.500 0.500 0.500
0.238 0.238 0.285
0.762 0.762 0.715
0.000 0.000 0.000
```

Here is a geometry-optimized Lu2PH structure from Alexandria via LeMat-Bulk. Energies are from PBE-GGA.

Computed properties:
Space group: R-3m
DFT total energy: -20.5 eV per cell
Magnetization: 0.23 μB per atom

Structure (POSCAR):
```
Lu2PH
1.0
-0.262 -3.003 -2.509
3.167 -1.170 -1.997
2.537 -5.731 3.530
P Lu H
1 2 1
direct
0.500 0.500 0.500
0.096 0.096 0.712
0.904 0.904 0.288
0.000 0.000 0.000
```

Here is a geometry-optimized Lu12P3H5 structure from Alexandria via LeMat-Bulk. Energies are from PBE-GGA.

Computed properties:
Space group: Ia-3d
DFT total energy: -390.2 eV per cell
Magnetization: 0.00 μB per atom

Structure (POSCAR):
```
Lu12P3H5
1.0
-1.056 -12.530 -0.917
8.570 4.113 -8.282
3.630 3.068 11.678
P Lu H
12 48 20
direct
0.750 0.375 0.125
0.875 0.750 0.125
0.375 0.750 0.625
0.250 0.125 0.375
0.875 0.125 0.250
0.375 0.625 0.250
0.625 0.375 0.750
0.125 0.875 0.750
0.750 0.875 0.625
0.625 0.250 0.375
0.125 0.250 0.875
0.250 0.625 0.875
0.714 0.117 0.023
0.309 0.523 0.405
0.977 0.383 0.286
0.523 0.214 0.117
0.596 0.714 0.691
0.977 0.595 0.191
0.309 0.786 0.404
0.095 0.904 0.117
0.595 0.977 0.691
0.714 0.596 0.191
0.786 0.477 0.383
0.809 0.905 0.023
0.117 0.714 0.523
0.383 0.405 0.096
0.096 0.905 0.383
0.404 0.117 0.595
0.096 0.191 0.214
0.477 0.691 0.095
0.809 0.904 0.286
0.117 0.404 0.095
0.383 0.977 0.786
0.595 0.617 0.404
0.905 0.809 0.523
0.786 0.309 0.904
0.405 0.383 0.596
0.095 0.191 0.477
0.214 0.691 0.096
0.191 0.096 0.714
0.617 0.023 0.214
0.883 0.596 0.905
0.523 0.309 0.905
0.596 0.883 0.405
0.904 0.809 0.786
0.904 0.095 0.617
0.883 0.286 0.477
0.191 0.095 0.977
0.617 0.595 0.904
0.405 0.023 0.309
0.286 0.404 0.809
0.214 0.523 0.617
0.905 0.096 0.883
0.691 0.214 0.596
0.477 0.786 0.883
0.023 0.405 0.809
0.404 0.286 0.309
0.023 0.617 0.714
0.691 0.477 0.595
0.286 0.883 0.977
0.125 0.375 0.250
0.000 0.500 0.000
0.000 0.000 0.000
0.375 0.250 0.125
0.500 0.000 0.500
0.500 0.500 0.000
0.125 0.750 0.375
0.750 0.125 0.875
0.750 0.625 0.375
0.375 0.125 0.750
0.625 0.875 0.250
0.500 0.500 0.500
0.500 0.000 0.000
0.000 0.000 0.500
0.250 0.375 0.625
0.250 0.875 0.125
0.000 0.500 0.500
0.875 0.250 0.625
0.625 0.750 0.875
0.875 0.625 0.750
```

Here is a geometry-optimized LuPa3H structure from Alexandria via LeMat-Bulk. Energies are from PBE-GGA.

Computed properties:
Space group: Pm-3m
DFT total energy: -36.2 eV per cell
Magnetization: 0.00 μB per atom

Structure (POSCAR):
```
LuPa3H
1.0
-3.822 0.871 2.680
-1.646 -4.356 -0.933
2.287 -1.680 3.808
H Pa Lu
1 3 1
direct
0.000 0.000 0.000
0.000 0.500 0.000
0.000 0.000 0.500
0.500 0.000 0.000
0.500 0.500 0.500
```

Here is a geometry-optimized Lu2PaH structure from Alexandria via LeMat-Bulk. Energies are from PBE-GGA.

Computed properties:
Space group: R-3m
DFT total energy: -21.5 eV per cell
Magnetization: 0.00 μB per atom
Distance to the lowest polymorph of the same formula: 0.000 eV per atom

Structure (POSCAR):
```
Lu2PaH
1.0
-2.181 -1.010 -2.191
-2.626 -1.658 0.965
-6.178 6.913 0.550
H Pa Lu
1 1 2
direct
0.500 0.500 0.500
0.000 0.000 0.000
0.117 0.117 0.649
0.883 0.883 0.351
```

Here is a geometry-optimized Lu3PaH structure from Alexandria via LeMat-Bulk. Energies are from PBE-GGA.

Computed properties:
Space group: Pm-3m
DFT total energy: -26.3 eV per cell
Magnetization: 0.09 μB per atom

Structure (POSCAR):
```
Lu3PaH
1.0
-4.156 1.902 1.470
-1.866 -4.403 0.420
1.514 -0.208 4.551
H Pa Lu
1 1 3
direct
0.000 0.000 0.000
0.500 0.500 0.500
0.000 0.500 0.000
0.000 0.000 0.500
0.500 0.000 0.000
```

Here is a geometry-optimized Lu2PaH structure from Alexandria via LeMat-Bulk. Energies are from PBE-GGA.

Computed properties:
Space group: P4/mmm
DFT total energy: -21.1 eV per cell
Magnetization: 0.00 μB per atom
Distance to the lowest polymorph of the same formula: 0.101 eV per atom

Structure (POSCAR):
```
Lu2PaH
1.0
3.191 0.000 0.000
0.000 3.191 0.000
0.000 0.000 8.285
H Pa Lu
1 1 2
direct
0.500 0.500 0.000
0.500 0.500 0.500
0.000 0.000 0.804
0.000 0.000 0.196
```